{
  "formula": "LaY2Al",
  "functional": "GGA-PBEsol",
  "state": "optimized geometry",
  "e_tot_ev_per_atom": -5.9257,
  "spacegroup": "P4mm (99)",
  "lattice_angstrom": [[3.499, 0.000, 0.000], [0.000, 3.499, 0.000], [0.000, 0.000, 9.231]],
  "species": ["La", "Y", "Y", "Al"],
  "fractional_positions": [[0.000, 0.000, 0.000], [0.000, 0.000, 0.573], [0.500, 0.500, 0.298], [0.500, 0.500, 0.775]]
}

***

{
  "formula": "LaY2Al",
  "functional": "GGA-PBEsol",
  "state": "optimized geometry",
  "e_tot_ev_per_atom": -5.9526,
  "spacegroup": "Immm (71)",
  "lattice_angstrom": [[-1.886, 2.706, 5.565], [1.886, -2.706, 5.565], [1.886, 2.706, -5.565]],
  "species": ["La", "Y", "Y", "Al"],
  "fractional_positions": [[0.000, 0.000, 0.000], [0.285, 0.785, 0.500], [0.715, 0.215, 0.500], [0.500, 0.500, 0.000]]
}

***

{
  "formula": "LaYAl2",
  "functional": "GGA-PBEsol",
  "state": "optimized geometry",
  "e_tot_ev_per_atom": -5.4362,
  "spacegroup": "Amm2 (38)",
  "lattice_angstrom": [[4.518, 0.000, 0.000], [0.000, 1.845, 6.061], [0.000, -1.845, 6.061]],
  "species": ["La", "Y", "Al", "Al"],
  "fractional_positions": [[0.000, 0.000, 0.000], [0.500, 0.310, 0.310], [0.000, 0.726, 0.726], [0.500, 0.600, 0.600]]
}

***

DOS(E_F) in states/eV per atom, matching the order above: 1.15 1.13 1.08
Total moment in μB per cell, matching the order above: 0.0 0.0 0.0
E_form in eV per atom, matching the order above: -0.155 -0.182 -0.348